Density functional theory data (PBE) for an optimized crystal structure of Rb3SrPa2O9.

Lattice parameters (Å, degrees): 6.385 6.385 7.859 90.00 90.00 120.00
Fractional positions:
Rb1 0.333 0.667 0.660
Rb2 0.000 0.000 0.000
Rb3 0.667 0.333 0.340
Sr1 0.000 0.000 0.500
Pa1 0.333 0.667 0.162
Pa2 0.667 0.333 0.838
O1 0.819 0.181 0.688
O2 0.819 0.639 0.688
O3 0.361 0.181 0.688
O4 0.639 0.819 0.312
O5 0.181 0.361 0.312
O6 0.181 0.819 0.312
O7 0.500 0.000 0.000
O8 0.000 0.500 0.000
O9 0.500 0.500 0.000

Summary:
Uncorrected energy   -7.025 eV/atom
Crystal system   trigonal
Size of the total moment   0.21 μB/atom
Theoretical density   5.7 g cm⁻³



Density functional theory data (PBE) for an optimized crystal structure of K4Nb15O24.

Lattice parameters (Å, degrees): 9.330 9.330 9.416 66.48 66.48 52.65
Fractional positions:
K1 0.000 0.000 0.000
K2 0.500 0.500 0.000
K3 0.747 0.747 0.005
K4 0.253 0.253 0.995
Nb1 0.826 0.309 0.229
Nb2 0.882 0.368 0.501
Nb3 0.937 0.438 0.749
Nb4 0.500 0.500 0.500
Nb5 0.747 0.747 0.500
Nb6 0.309 0.826 0.229
Nb7 0.562 0.063 0.251
Nb8 0.368 0.882 0.501
Nb9 0.632 0.118 0.499
Nb10 0.438 0.937 0.749
Nb11 0.691 0.174 0.771
Nb12 0.253 0.253 0.500
Nb13 0.063 0.562 0.251
Nb14 0.118 0.632 0.499
Nb15 0.174 0.691 0.771
O1 0.941 0.432 0.248
O2 0.814 0.307 0.753
O3 0.870 0.381 0.000
O4 0.564 0.564 0.246
O5 0.624 0.624 0.500
O6 0.812 0.812 0.247
O7 0.875 0.875 0.499
O8 0.686 0.686 0.751
O9 0.934 0.934 0.765
O10 0.381 0.870 0.000
O11 0.619 0.130 0.000
O12 0.432 0.941 0.248
O13 0.693 0.186 0.247
O14 0.307 0.814 0.753
O15 0.568 0.059 0.752
O16 0.188 0.188 0.753
O17 0.436 0.436 0.754
O18 0.066 0.066 0.235
O19 0.125 0.125 0.501
O20 0.314 0.314 0.249
O21 0.376 0.376 0.500
O22 0.059 0.568 0.752
O23 0.186 0.693 0.247
O24 0.130 0.619 0.000

Summary:
Uncorrected energy   -8.590 eV/atom
Crystal system   monoclinic
Size of the total moment   0.00 μB/atom
Theoretical density   5.5 g cm⁻³



Density functional theory data (PBE) for an optimized crystal structure of Nd2Sm4As3N2.

Lattice parameters (Å, degrees): 4.657 4.657 12.694 100.57 100.57 90.00
Fractional positions:
Nd1 0.303 0.303 0.607
Nd2 0.697 0.697 0.393
Sm1 0.420 0.920 0.841
Sm2 0.920 0.420 0.841
Sm3 0.080 0.580 0.159
Sm4 0.580 0.080 0.159
As1 0.000 0.000 0.000
As2 0.176 0.176 0.351
As3 0.824 0.824 0.649
N1 0.398 0.398 0.797
N2 0.602 0.602 0.203

Summary:
Uncorrected energy   -6.611 eV/atom
Crystal system   tetragonal
Size of the total moment   0.00 μB/atom
Theoretical density   7.1 g cm⁻³



Density functional theory data (PBE) for an optimized crystal structure of SmDyInGa.

Lattice parameters (Å, degrees): 5.248 5.248 5.248 60.00 60.00 60.00
Fractional positions:
In1 0.250 0.250 0.250
Ga1 0.750 0.750 0.750
Sm1 0.000 0.000 0.000
Dy1 0.500 0.500 0.500

Summary:
DFT formation energy   -194 kJ/mol of formula units
Distance to the lowest polymorph of the same formula   21 meV per atom
Crystal system   cubic
Size of the total moment   0.00 μB/atom
Theoretical density   8.1 g cm⁻³



Density functional theory data (PBE) for an optimized crystal structure of KMn2Au.

Lattice parameters (Å, degrees): 4.769 4.769 7.007 83.68 83.68 38.98
Fractional positions:
Au1 0.750 0.750 0.750
K1 0.250 0.250 0.250
Mn1 0.022 0.022 0.898
Mn2 0.478 0.478 0.602

Summary:
DFT formation energy   198 kJ/mol of formula units
Distance to the lowest polymorph of the same formula   116 meV per atom
Crystal system   monoclinic
Size of the total moment   2.12 μB/atom
Theoretical density   5.8 g cm⁻³



Density functional theory data (PBE) for an optimized crystal structure of Ce6Si3H.

Lattice parameters (Å, degrees): 7.238 5.849 5.849 63.44 81.35 81.35
Fractional positions:
Ce1 0.374 0.101 0.648
Ce2 0.626 0.352 0.899
Ce3 0.626 0.899 0.352
Ce4 0.374 0.648 0.101
Ce5 0.107 0.642 0.642
Ce6 0.893 0.358 0.358
Si1 0.248 0.152 0.152
Si2 0.752 0.848 0.848
Si3 0.000 0.000 0.000
H1 0.500 0.500 0.500

Summary:
Uncorrected energy   -5.897 eV/atom
Crystal system   monoclinic
Size of the total moment   0.31 μB/atom
Theoretical density   7.1 g cm⁻³



Density functional theory data (PBE) for an optimized crystal structure of Ca2NiH6Pd.

Lattice parameters (Å, degrees): 5.150 5.150 5.121 120.26 120.26 89.89
Fractional positions:
Ca1 0.750 0.250 0.500
Ca2 0.250 0.750 0.500
Ni1 0.000 0.000 0.000
H1 0.766 0.767 0.999
H2 0.764 0.764 0.528
H3 0.234 0.234 0.000
H4 0.767 0.234 0.000
H5 0.236 0.236 0.472
H6 0.233 0.767 0.000
Pd1 0.500 0.500 0.000

Summary:
Uncorrected energy   -4.022 eV/atom
Crystal system   tetragonal
Size of the total moment   0.00 μB/atom
Theoretical density   4.4 g cm⁻³



Density functional theory data (PBE) for an optimized crystal structure of Tl3HPt.

Lattice parameters (Å, degrees): 5.340 5.340 5.340 90.00 90.00 90.00
Fractional positions:
H1 0.500 0.500 0.500
Tl1 0.000 0.500 0.000
Tl2 0.000 0.000 0.500
Tl3 0.500 0.000 0.000
Pt1 0.000 0.000 0.000

Summary:
Distance to the lowest polymorph of the same formula   0 meV per atom
Crystal system   cubic
Size of the total moment   0.00 μB/atom
Theoretical density   8.8 g cm⁻³



Density functional theory data (PBE) for an optimized crystal structure of NdAl4Fe.

Lattice parameters (Å, degrees): 6.310 6.310 6.827 90.00 90.00 90.00
Fractional positions:
Nd1 0.500 0.000 0.500
Nd2 0.000 0.500 0.500
Al1 0.750 0.250 0.000
Al2 0.750 0.750 0.000
Al3 0.250 0.250 0.000
Al4 0.250 0.750 0.000
Al5 0.000 0.000 0.324
Al6 0.500 0.500 0.676
Al7 0.000 0.000 0.676
Al8 0.500 0.500 0.324
Fe1 0.500 0.500 0.000
Fe2 0.000 0.000 0.000

Summary:
DFT formation energy   16 kJ/mol of formula units
Crystal system   tetragonal
Size of the total moment   0.00 μB/atom
Theoretical density   3.8 g cm⁻³



Density functional theory data (PBE) for an optimized crystal structure of LaZnRh.

Lattice parameters (Å, degrees): 5.889 5.889 3.391 73.27 73.26 33.46
Fractional positions:
La1 0.011 0.011 0.989
Rh1 0.690 0.690 0.310
Zn1 0.299 0.299 0.701

Summary:
DFT formation energy   -125 kJ/mol of formula units
Crystal system   tetragonal
Size of the total moment   0.00 μB/atom
Theoretical density   8.2 g cm⁻³



Density functional theory data (PBE) for an optimized crystal structure of LaYCdSe2.

Lattice parameters (Å, degrees): 5.404 6.215 5.404 90.00 90.00 90.00
Fractional positions:
Y1 0.000 0.000 0.000
Cd1 0.500 0.500 0.500
Se1 0.000 0.000 0.500
Se2 0.500 0.000 0.000
La1 0.000 0.500 0.000

Summary:
Uncorrected energy   -4.136 eV/atom
Crystal system   tetragonal
Size of the total moment   0.01 μB/atom
Theoretical density   4.6 g cm⁻³



Density functional theory data (PBE) for an optimized crystal structure of Sc2CoCu2.

Lattice parameters (Å, degrees): 5.096 5.095 4.734 61.79 61.79 50.01
Fractional positions:
Sc1 0.808 0.808 0.691
Sc2 0.192 0.192 0.309
Co1 0.000 0.000 0.000
Cu1 0.500 0.500 0.254
Cu2 0.500 0.500 0.746

Summary:
DFT formation energy   -84 kJ/mol of formula units
Crystal system   monoclinic
Size of the total moment   0.05 μB/atom
Theoretical density   5.7 g cm⁻³



Density functional theory data (PBE) for an optimized crystal structure of LaCdCu.

Lattice parameters (Å, degrees): 3.628 4.755 8.391 90.00 90.01 90.00
Fractional positions:
La1 0.312 0.716 0.106
La2 0.312 0.216 0.687
Cd1 0.812 0.216 0.304
Cd2 0.812 0.716 0.489
Cu1 0.812 0.217 0.974
Cu2 0.811 0.717 0.819

Summary:
DFT formation energy   -78 kJ/mol of formula units
Crystal system   orthorhombic
Size of the total moment   0.00 μB/atom
Theoretical density   7.2 g cm⁻³



Density functional theory data (PBE) for an optimized crystal structure of CsK2NaAs.

Lattice parameters (Å, degrees): 6.661 6.661 5.843 90.00 90.00 90.00
Fractional positions:
Cs1 0.500 0.500 0.500
Na1 0.000 0.000 0.500
As1 0.000 0.000 0.000
K1 0.000 0.500 0.000
K2 0.500 0.000 0.000

Summary:
DFT formation energy   -87 kJ/mol of formula units
Distance to the lowest polymorph of the same formula   0 meV per atom
Crystal system   tetragonal
Size of the total moment   0.00 μB/atom
Theoretical density   2.0 g cm⁻³



Density functional theory data (PBE) for an optimized crystal structure of PrHo4Zn5.

Lattice parameters (Å, degrees): 3.577 3.577 17.992 90.00 90.00 90.00
Fractional positions:
Pr1 0.000 0.000 0.000
Ho1 0.000 0.000 0.206
Ho2 0.000 0.000 0.402
Ho3 0.000 0.000 0.598
Ho4 0.000 0.000 0.794
Zn1 0.500 0.500 0.112
Zn2 0.500 0.500 0.303
Zn3 0.500 0.500 0.500
Zn4 0.500 0.500 0.697
Zn5 0.500 0.500 0.888

Summary:
DFT formation energy   -319 kJ/mol of formula units
Crystal system   tetragonal
Size of the total moment   0.00 μB/atom
Theoretical density   8.1 g cm⁻³



Density functional theory data (PBE) for an optimized crystal structure of Mg3Ta.

Lattice parameters (Å, degrees): 10.491 10.491 10.491 16.61 16.61 16.61
Fractional positions:
Mg1 0.747 0.747 0.747
Mg2 0.500 0.500 0.500
Mg3 0.253 0.253 0.253
Ta1 0.000 0.000 0.000

Summary:
DFT formation energy   80 kJ/mol of formula units
Crystal system   trigonal
Size of the total moment   0.00 μB/atom
Theoretical density   5.1 g cm⁻³



Density functional theory data (PBE) for an optimized crystal structure of LiTbCu17.

Lattice parameters (Å, degrees): 6.419 6.419 6.419 82.44 82.44 82.44
Fractional positions:
Li1 0.341 0.341 0.341
Tb1 0.659 0.659 0.659
Cu1 0.299 0.003 0.697
Cu2 0.697 0.299 0.003
Cu3 0.003 0.697 0.299
Cu4 0.299 0.697 0.003
Cu5 0.003 0.299 0.697
Cu6 0.697 0.003 0.299
Cu7 0.344 0.852 0.344
Cu8 0.344 0.344 0.852
Cu9 0.852 0.344 0.344
Cu10 0.652 0.158 0.652
Cu11 0.652 0.652 0.158
Cu12 0.158 0.652 0.652
Cu13 0.997 0.501 0.997
Cu14 0.997 0.997 0.501
Cu15 0.501 0.997 0.997
Cu16 0.905 0.905 0.905
Cu17 0.100 0.100 0.100

Summary:
DFT formation energy   -65 kJ/mol of formula units
Crystal system   trigonal
Size of the total moment   0.00 μB/atom
Theoretical density   8.0 g cm⁻³



Density functional theory data (PBE) for an optimized crystal structure of AsPbAu2.

Lattice parameters (Å, degrees): 5.400 5.400 5.400 137.55 119.53 76.66
Fractional positions:
Pb1 0.506 0.506 0.000
As1 0.211 0.711 0.500
Au1 0.011 0.011 0.000
Au2 0.773 0.273 0.500

Summary:
DFT formation energy   52 kJ/mol of formula units
Crystal system   orthorhombic
Size of the total moment   0.00 μB/atom
Theoretical density   12.5 g cm⁻³



Density functional theory data (PBE) for an optimized crystal structure of NaAsHBr2.

Lattice parameters (Å, degrees): 5.566 5.566 5.993 90.00 90.00 90.00
Fractional positions:
Na1 0.000 0.000 0.000
As1 0.000 0.000 0.500
Br1 0.000 0.500 0.000
Br2 0.500 0.000 0.000
H1 0.500 0.500 0.500

Summary:
Distance to the lowest polymorph of the same formula   818 meV per atom
Crystal system   tetragonal
Size of the total moment   0.77 μB/atom
Theoretical density   2.3 g cm⁻³



Density functional theory data (PBE) for an optimized crystal structure of ErScAg4.

Lattice parameters (Å, degrees): 5.143 5.156 5.232 60.48 89.98 89.96
Fractional positions:
Er1 0.001 0.502 0.495
Sc1 0.501 0.002 0.495
Ag1 0.501 0.672 0.155
Ag2 0.501 0.332 0.836
Ag3 0.001 0.167 0.164
Ag4 0.001 0.836 0.826

Summary:
DFT formation energy   -173 kJ/mol of formula units
Distance to the lowest polymorph of the same formula   5 meV per atom
Crystal system   orthorhombic
Size of the total moment   0.00 μB/atom
Theoretical density   8.9 g cm⁻³